(1)
Here is a relaxed structure of MgB2O2 from the Alexandria database. Energies are from GGA-PBE.

Lattice parameters (Å, degrees): 2.6086 2.6086 11.8497 90.00 90.00 90.00
Space group I4/mmm (No. 139)
Inequivalent atoms, fractional coordinates:
Mg 0.0000 0.0000 0.0000 x2
B 0.0000 0.5000 0.2500 x4
O 0.0000 0.0000 0.3962 x4

Calculated values
Polymorph energy (0 for the lowest one) in eV/atom: 0.976
Total magnetization in μB/f.u.: 0.00
Formation energy without anion corrections in eV per formula unit: -0.86

***

(2)
Here is a relaxed structure of ZrPb from the Alexandria database. Energies are from GGA-PBE.

Lattice parameters (Å, degrees): 8.1461 8.1461 8.1461 90.00 90.00 90.00
Space group Pm-3n (No. 223)
Inequivalent atoms, fractional coordinates:
Zr 0.0000 0.2500 0.5000 x6
Pb 0.0000 0.5000 0.2500 x6

Calculated values
Total magnetization in μB/f.u.: 0.00
Formation energy from the elements in meV/atom: 862

***

(3)
Here is a relaxed structure of YSiF3 from the Alexandria database. Energies are from GGA-PBE.

Lattice parameters (Å, degrees): 4.4884 4.4884 4.4884 90.00 90.00 90.00
Space group Pm-3m (No. 221)
Inequivalent atoms, fractional coordinates:
Y 0.0000 0.0000 0.0000 x1
Si 0.5000 0.5000 0.5000 x1
F 0.0000 0.0000 0.5000 x3

Calculated values
Polymorph energy (0 for the lowest one) in eV/atom: 0.000
Total magnetization in μB/f.u.: 1.98
Formation energy without anion corrections in eV per formula unit: -11.70

***

Number 1: electronic total energy -0.189 hartree per atom. Number 2: electronic total energy -0.194 hartree per atom. Number 3: electronic total energy -0.215 hartree per atom.